Here is a relaxed structure of LiNdCuHg from Alexandria. Energies are from PBE.

Crystal system   cubic
Formation energy   -0.21 eV/atom

a b c (Å): 7.053 7.053 7.053
angles (deg): 90.00 90.00 90.00
Space group F-43m (No. 216)
Symmetry-distinct sites (fractional):
Li 0.000 0.000 0.000 [4 per cell]
Nd 0.000 0.000 0.500 [4 per cell]
Cu 0.250 0.250 0.250 [4 per cell]
Hg 0.250 0.250 0.750 [4 per cell]